i | # NiAu3O, relaxed, DFT PBE with a Hubbard U
# D(E_F) (states/eV per cell): 7.7
data_NiAu3O
_chemical_formula_sum 'Ni1 Au3 O1'
_cell_length_a 4.690
_cell_length_b 4.690
_cell_length_c 4.690
_cell_angle_alpha 90.00
_cell_angle_beta 90.00
_cell_angle_gamma 90.00
_space_group_name_H-M_alt 'P m -3 m'
_space_group_IT_number 221
_space_group_name_Hall '-P 4 2 3'
loop_
_atom_site_label
_atom_site_type_symbol
_atom_site_fract_x
_atom_site_fract_y
_atom_site_fract_z
Ni1 Ni 0.000 0.000 0.000
Au1 Au 0.000 0.000 0.500
O1 O 0.500 0.500 0.500


ii | # NiAu3O, relaxed, DFT PBE with a Hubbard U
# D(E_F) (states/eV per cell): 1.6
data_NiAu3O
_chemical_formula_sum 'Ni1 Au3 O1'
_cell_length_a 4.399
_cell_length_b 4.399
_cell_length_c 4.399
_cell_angle_alpha 90.00
_cell_angle_beta 90.00
_cell_angle_gamma 90.00
_space_group_name_H-M_alt 'P m -3 m'
_space_group_IT_number 221
_space_group_name_Hall '-P 4 2 3'
loop_
_atom_site_label
_atom_site_type_symbol
_atom_site_fract_x
_atom_site_fract_y
_atom_site_fract_z
Ni1 Ni 0.000 0.000 0.000
Au1 Au 0.000 0.500 0.500
O1 O 0.500 0.500 0.500


Ranking the structures above by stability puts ii first and i last.